(1)
# Sm12Er7Mg | Alexandria via LeMat-Bulk | PBE | relaxed
# ΔE to the lowest computed polymorph, eV per atom: 0.0000
data_Sm12Er7Mg
_chemical_formula_sum 'Sm12 Er7 Mg1'
_space_group_name_H-M_alt 'P 1'
_space_group_IT_number 1
_space_group_name_Hall 'P 1'
_cell_length_a 9.285
_cell_length_b 9.285
_cell_length_c 9.285
_cell_angle_alpha 107.64
_cell_angle_beta 107.64
_cell_angle_gamma 107.64
loop_
_atom_site_label
_atom_site_type_symbol
_atom_site_fract_x
_atom_site_fract_y
_atom_site_fract_z
Sm1 Sm 0.100 0.205 0.441
Sm2 Sm 0.118 0.824 0.282
Sm3 Sm 0.176 0.718 0.882
Sm4 Sm 0.205 0.441 0.100
Sm5 Sm 0.282 0.118 0.824
Sm6 Sm 0.441 0.100 0.205
Sm7 Sm 0.559 0.900 0.795
Sm8 Sm 0.718 0.882 0.176
Sm9 Sm 0.795 0.559 0.900
Sm10 Sm 0.824 0.282 0.118
Sm11 Sm 0.882 0.176 0.718
Sm12 Sm 0.900 0.795 0.559
Er1 Er 0.000 0.000 0.000
Er2 Er 0.184 0.603 0.494
Er3 Er 0.397 0.506 0.816
Er4 Er 0.494 0.184 0.603
Er5 Er 0.506 0.816 0.397
Er6 Er 0.603 0.494 0.184
Er7 Er 0.816 0.397 0.506
Mg1 Mg 0.500 0.500 0.500


(2)
Below is a relaxed structure of Sm2ErMg8, with properties calculated at the PBE level.

CIF file:
```
data_Sm2ErMg8
_chemical_formula_sum 'Sm2 Er1 Mg8'
_space_group_name_H-M_alt 'P 1'
_space_group_IT_number 1
_space_group_name_Hall 'P 1'
_cell_length_a 8.580
_cell_length_b 8.580
_cell_length_c 8.580
_cell_angle_alpha 144.11
_cell_angle_beta 126.64
_cell_angle_gamma 65.99
loop_
_atom_site_label
_atom_site_type_symbol
_atom_site_fract_x
_atom_site_fract_y
_atom_site_fract_z
Sm1 Sm 0.210 0.210 0.000
Sm2 Sm 0.790 0.790 0.000
Er1 Er 0.500 0.500 0.000
Mg1 Mg 0.061 0.367 0.694
Mg2 Mg 0.210 0.000 0.210
Mg3 Mg 0.327 0.633 0.694
Mg4 Mg 0.348 0.848 0.500
Mg5 Mg 0.652 0.152 0.500
Mg6 Mg 0.673 0.367 0.306
Mg7 Mg 0.790 0.000 0.790
Mg8 Mg 0.939 0.633 0.306
```


Respective energy of formation values: 0.150, 0.044 eV/atom.
Respective N(E_F) values: 1.886, 0.805 states/eV/atom.